Record 1
! Pr2Th4Bi3N2 PBE relaxed; values from VASP
! mass density = 9.824 g/cm³
! symmetry = I4/mmm (139)
&SYSTEM
  ibrav = 0, nat = 11, ntyp = 4
/
ATOMIC_SPECIES
Pr 140.91 Pr.upf
Th 232.04 Th.upf
Bi 208.98 Bi.upf
N 14.01 N.upf
CELL_PARAMETERS angstrom
-2.3935 2.3935 13.7560
2.3935 -2.3935 13.7560
2.3935 2.3935 -13.7560
ATOMIC_POSITIONS crystal
Pr 0.1979 0.1979 0.0000
Pr 0.8021 0.8021 0.0000
Th 0.0868 0.5868 0.5000
Th 0.4132 0.9132 0.5000
Th 0.5868 0.0868 0.5000
Th 0.9132 0.4132 0.5000
Bi 0.3211 0.3211 0.0000
Bi 0.5000 0.5000 0.0000
Bi 0.6789 0.6789 0.0000
N 0.1034 0.1034 0.0000
N 0.8966 0.8966 0.0000

Record 2
! Pr4TlBiN PBE relaxed; values from VASP
! mass density = 7.916 g/cm³
! symmetry = Cmcm (63)
&SYSTEM
  ibrav = 0, nat = 14, ntyp = 4
/
ATOMIC_SPECIES
Pr 140.91 Pr.upf
Tl 204.38 Tl.upf
Bi 208.98 Bi.upf
N 14.01 N.upf
CELL_PARAMETERS angstrom
3.5317 -8.3308 0.0000
3.5317 8.3308 0.0000
0.0000 0.0000 7.0654
ATOMIC_POSITIONS crystal
Pr 0.0000 0.5000 0.0000
Pr 0.0000 0.5000 0.5000
Pr 0.0886 0.9114 0.7500
Pr 0.4072 0.5928 0.7500
Pr 0.5000 0.0000 0.0000
Pr 0.5000 0.0000 0.5000
Pr 0.5928 0.4072 0.2500
Pr 0.9114 0.0886 0.2500
Tl 0.1103 0.8897 0.2500
Tl 0.8897 0.1103 0.7500
Bi 0.3938 0.6062 0.2500
Bi 0.6062 0.3938 0.7500
N 0.2459 0.7541 0.7500
N 0.7541 0.2459 0.2500

Record 3
! Pr4Y2Bi3N2 PBE relaxed; values from VASP
! mass density = 7.420 g/cm³
! symmetry = I4/mmm (139)
&SYSTEM
  ibrav = 0, nat = 11, ntyp = 4
/
ATOMIC_SPECIES
Pr 140.91 Pr.upf
Y 88.91 Y.upf
Bi 208.98 Bi.upf
N 14.01 N.upf
CELL_PARAMETERS angstrom
-2.4360 2.4360 13.1662
2.4360 -2.4360 13.1662
2.4360 2.4360 -13.1662
ATOMIC_POSITIONS crystal
Pr 0.0853 0.5853 0.5000
Pr 0.4147 0.9147 0.5000
Pr 0.5853 0.0853 0.5000
Pr 0.9147 0.4147 0.5000
Y 0.1918 0.1918 0.0000
Y 0.8082 0.8082 0.0000
Bi 0.3166 0.3166 0.0000
Bi 0.5000 0.5000 0.0000
Bi 0.6834 0.6834 0.0000
N 0.1092 0.1092 0.0000
N 0.8908 0.8908 0.0000

Record 4
! BiPt2N PBE relaxed; values from VASP
! mass density = 13.050 g/cm³
! symmetry = I-42d (122)
&SYSTEM
  ibrav = 0, nat = 16, ntyp = 3
/
ATOMIC_SPECIES
Bi 208.98 Bi.upf
Pt 195.08 Pt.upf
N 14.01 N.upf
CELL_PARAMETERS angstrom
5.0593 0.0000 0.0000
0.0000 5.0593 0.0000
0.0000 0.0000 12.1918
ATOMIC_POSITIONS crystal
Bi 0.0000 0.0000 0.0000
Bi 0.0000 0.5000 0.2500
Bi 0.5000 0.0000 0.7500
Bi 0.5000 0.5000 0.5000
Pt 0.1014 0.2500 0.6250
Pt 0.2500 0.6014 0.8750
Pt 0.2500 0.8986 0.3750
Pt 0.3986 0.2500 0.1250
Pt 0.6014 0.7500 0.1250
Pt 0.7500 0.1014 0.3750
Pt 0.7500 0.3986 0.8750
Pt 0.8986 0.7500 0.6250
N 0.0000 0.0000 0.5000
N 0.0000 0.5000 0.7500
N 0.5000 0.0000 0.2500
N 0.5000 0.5000 0.0000

Record 5
! BiPtN3 PBE relaxed; values from VASP
! mass density = 9.685 g/cm³
! symmetry = Pm-3m (221)
&SYSTEM
  ibrav = 0, nat = 5, ntyp = 3
/
ATOMIC_SPECIES
Bi 208.98 Bi.upf
Pt 195.08 Pt.upf
N 14.01 N.upf
CELL_PARAMETERS angstrom
4.2448 0.0000 0.0000
0.0000 4.2448 0.0000
0.0000 0.0000 4.2448
ATOMIC_POSITIONS crystal
Bi 0.0000 0.0000 0.0000
Pt 0.5000 0.5000 0.5000
N 0.0000 0.0000 0.5000
N 0.0000 0.5000 0.0000
N 0.5000 0.0000 0.0000

Record 6
! Bi2Pt2N PBE relaxed; values from VASP
! mass density = 13.136 g/cm³
! energy above the lowest structure with this stoichiometry = 85 meV per atom
! symmetry = P4/mbm (127)
&SYSTEM
  ibrav = 0, nat = 10, ntyp = 3
/
ATOMIC_SPECIES
Bi 208.98 Bi.upf
Pt 195.08 Pt.upf
N 14.01 N.upf
CELL_PARAMETERS angstrom
6.9968 0.0000 0.0000
0.0000 6.9968 0.0000
0.0000 0.0000 4.2458
ATOMIC_POSITIONS crystal
Bi 0.1878 0.3122 0.0000
Bi 0.3122 0.8122 0.0000
Bi 0.6878 0.1878 0.0000
Bi 0.8122 0.6878 0.0000
Pt 0.1308 0.6308 0.5000
Pt 0.3692 0.1308 0.5000
Pt 0.6308 0.8692 0.5000
Pt 0.8692 0.3692 0.5000
N 0.0000 0.0000 0.0000
N 0.5000 0.5000 0.0000

N(E_F) for the records above, in order: 0.699, 0.631, 0.393, 0.184, 1.447, 1.108 states/eV/atom
Total DFT energy (no corrections) for the records above, in order: -77.33, -77.99, -71.14, -92.95, -22.01, -48.86 eV for the cell shown
E_form (uncorrected) for the records above, in order: -0.891, -0.758, -0.982, 0.262, 2.578, 0.747 eV/atom